# Zr2ScInW (PBE-GGA, optimized geometry)
data_Zr2ScInW
_symmetry_space_group_name_H-M 'P 4/m m m'
_symmetry_Int_Tables_number 123
_symmetry_space_group_name_Hall '-P 4 2'
_cell_length_a 4.794
_cell_length_b 4.794
_cell_length_c 5.192
_cell_angle_alpha 90.00
_cell_angle_beta 90.00
_cell_angle_gamma 90.00
loop_
_atom_site_label
_atom_site_type_symbol
_atom_site_fract_x
_atom_site_fract_y
_atom_site_fract_z
_atom_site_occupancy
Zr1 Zr 0.000 0.500 0.000 1
Sc1 Sc 0.000 0.000 0.000 1
In1 In 0.000 0.000 0.500 1
W1 W 0.500 0.500 0.500 1
# formation enthalpy at 0 K = 1628.1 meV/atom
# theoretical density = 7.3 g cm⁻³
# DOS(E_F) = 0.986 states/eV/atom